No. 1
Material: NpCuH2
Method: DFT, PBE
State: optimized geometry

The structure in POSCAR format:
```
NpCuH2
1.0
2.9926 0.0000 0.0000
-1.4963 2.5916 0.0000
0.0000 0.0000 17.8861
Np Cu H
3 3 6
direct
0.0000 0.0000 0.0000
0.3333 0.6667 0.6667
0.6667 0.3333 0.3333
0.0000 0.0000 0.5000
0.3333 0.6667 0.1667
0.6667 0.3333 0.8333
0.0000 0.0000 0.4114
0.0000 0.0000 0.5886
0.3333 0.6667 0.0781
0.3333 0.6667 0.2553
0.6667 0.3333 0.7447
0.6667 0.3333 0.9219
```

Values from the calculation:
Its energy is -5.80 eV per atom.

---

No. 2
Material: KMg2O
Method: DFT, PBE
State: optimized geometry

The structure in POSCAR format:
```
KMg2O
1.0
6.6977 0.0000 0.0000
0.0000 6.6977 0.0000
0.0000 0.0000 9.4657
K Mg O
4 8 4
direct
0.0000 0.0000 0.0000
0.0000 0.5000 0.2500
0.5000 0.0000 0.7500
0.5000 0.5000 0.5000
0.0008 0.7500 0.6250
0.2500 0.0008 0.3750
0.2500 0.4992 0.8750
0.4992 0.7500 0.1250
0.5008 0.2500 0.1250
0.7500 0.5008 0.8750
0.7500 0.9992 0.3750
0.9992 0.2500 0.6250
0.0000 0.0000 0.5000
0.0000 0.5000 0.7500
0.5000 0.0000 0.2500
0.5000 0.5000 0.0000
```

Values from the calculation:
As for the uncorrected formation energy: -869 meV per atom.